[1]
## SnGe2P (GGA-PBE)

Data for a relaxed structure of SnGe2P.

The structure in CIF format:
```
data_SnGe2P
_chemical_formula_sum 'Sn4 Ge8 P4'
_space_group_name_H-M_alt 'I -4 2 d'
_space_group_IT_number 122
_space_group_name_Hall 'I -4 2bw'
_cell_length_a 6.257
_cell_length_b 6.257
_cell_length_c 10.537
_cell_angle_alpha 90.00
_cell_angle_beta 90.00
_cell_angle_gamma 90.00
loop_
_atom_site_label
_atom_site_fract_x
_atom_site_fract_y
_atom_site_fract_z
Sn1 0.000 0.000 0.000
Ge1 0.211 0.250 0.625
P1 0.000 0.000 0.500
```

Formation energy ... 0.174 eV/atom
DFT total energy ... -71.799 eV per cell

[2]
## K3TaCl7 (GGA-PBE)

Data for a relaxed structure of K3TaCl7.

The structure in CIF format:
```
data_K3TaCl7
_chemical_formula_sum 'K6 Ta2 Cl14'
_space_group_name_H-M_alt 'C 1 m 1'
_space_group_IT_number 8
_space_group_name_Hall 'C -2y'
_cell_length_a 10.498
_cell_length_b 10.041
_cell_length_c 7.868
_cell_angle_alpha 90.00
_cell_angle_beta 126.28
_cell_angle_gamma 90.00
loop_
_atom_site_label
_atom_site_fract_x
_atom_site_fract_y
_atom_site_fract_z
K1 0.000 0.000 0.000
K2 0.004 0.269 0.575
Ta1 0.048 0.500 0.127
Cl1 0.117 0.266 0.268
Cl2 0.201 0.500 0.986
Cl3 0.331 0.500 0.508
Cl4 0.354 0.152 0.823
Cl5 0.376 0.000 0.244
```

DFT total energy ... -90.701 eV per cell

[3]
## Gd2Ti (GGA-PBE)

Data for a relaxed structure of Gd2Ti.

The structure in CIF format:
```
data_Gd2Ti
_chemical_formula_sum 'Gd4 Ti2'
_space_group_name_H-M_alt 'I 4/m m m'
_space_group_IT_number 139
_space_group_name_Hall '-I 4 2'
_cell_length_a 3.627
_cell_length_b 3.627
_cell_length_c 12.605
_cell_angle_alpha 90.00
_cell_angle_beta 90.00
_cell_angle_gamma 90.00
loop_
_atom_site_label
_atom_site_fract_x
_atom_site_fract_y
_atom_site_fract_z
Gd1 0.000 0.000 0.145
Ti1 0.000 0.000 0.500
```

Formation energy ... 0.218 eV/atom
DFT total energy ... -70.807 eV per cell

Question: What is the formula in the third record?
Answer: Gd2Ti

Question: DFT total energy of number 1 (SnGe2P)?
Answer: -71.799 eV per cell